TbPr4Er2Sc | Alexandria | PBE | optimized geometry; total energy = -4.872 eV per atom; density of states at the Fermi level = 1.282 states/eV per atom; ΔH_f (0 K) = 0.67 kcal/mol of atoms; space-group type = No. 47
1.0
5.129 0.000 0.000
0.000 5.142 0.000
0.000 0.000 9.887
Tb Pr Er Sc
1 4 2 1
Direct
0.000 0.000 0.000
0.000 0.500 0.255
0.000 0.500 0.745
0.500 0.000 0.256
0.500 0.000 0.744
0.000 0.000 0.500
0.500 0.500 0.000
0.500 0.500 0.500